Version one
A relaxed LaHgPCl2 crystal, computed with PBE-GGA.

Calculated values
The value obtained for the volume is 137.5 Å³/cell. The value obtained for the mass density is 5.33 g cm⁻³. As for the space-group type: P4/mmm, No. 123. As for the total magnetic moment: 0.17 μB per cell. The density of states at the Fermi level is 0.583 states/eV per atom.

a = 5.141 Å, b = 5.141 Å, c = 5.203 Å
α = 90.00°, β = 90.00°, γ = 90.00°
Fractional coordinates of all 5 atoms:
1 P 0.000 0.000 0.500
2 Cl 0.000 0.500 0.000
3 Cl 0.500 0.000 0.000
4 Hg 0.000 0.000 0.000
5 La 0.500 0.500 0.500

Version two
A relaxed LaHgPCl2 crystal, computed with PBE-GGA.

Calculated values
The value obtained for the volume is 190.1 Å³/cell. The value obtained for the mass density is 3.86 g cm⁻³. As for the space-group type: P4/mmm, No. 123. As for the total magnetic moment: 2.00 μB per cell. The density of states at the Fermi level is 0.127 states/eV per atom.

a = 5.588 Å, b = 5.588 Å, c = 6.087 Å
α = 90.00°, β = 90.00°, γ = 90.00°
Fractional coordinates of all 5 atoms:
1 P 0.000 0.000 0.500
2 Cl 0.000 0.500 0.000
3 Cl 0.500 0.000 0.000
4 Hg 0.500 0.500 0.500
5 La 0.000 0.000 0.000

It is version one that is the least stable of them.

Version one
A relaxed LaHgP2Cl crystal, computed with PBE-GGA.

Calculated values
The value obtained for the volume is 197.5 Å³/cell. The value obtained for the mass density is 3.67 g cm⁻³. As for the space-group type: P4/mmm, No. 123. As for the total magnetic moment: 3.90 μB per cell. The density of states at the Fermi level is 0.638 states/eV per atom.

a = 5.953 Å, b = 5.953 Å, c = 5.574 Å
α = 90.00°, β = 90.00°, γ = 90.00°
Fractional coordinates of all 5 atoms:
1 P 0.000 0.500 0.000
2 P 0.500 0.000 0.000
3 Cl 0.000 0.000 0.500
4 Hg 0.500 0.500 0.500
5 La 0.000 0.000 0.000

Version two
A relaxed LaHgP2Cl crystal, computed with PBE-GGA.

Calculated values
The value obtained for the volume is 129.9 Å³/cell. The value obtained for the mass density is 5.59 g cm⁻³. As for the space-group type: P4/mmm, No. 123. As for the total magnetic moment: 0.00 μB per cell. The density of states at the Fermi level is 0.443 states/eV per atom.

a = 4.914 Å, b = 4.914 Å, c = 5.379 Å
α = 90.00°, β = 90.00°, γ = 90.00°
Fractional coordinates of all 5 atoms:
1 P 0.000 0.500 0.000
2 P 0.500 0.000 0.000
3 Cl 0.000 0.000 0.500
4 Hg 0.000 0.000 0.000
5 La 0.500 0.500 0.500

It is version one that is the least stable of them.

Version one
A relaxed Li2HgCl crystal, computed with PBE-GGA.

Calculated values
The value obtained for the volume is 81.2 Å³/cell. The value obtained for the mass density is 5.11 g cm⁻³. As for the space-group type: Cm, No. 8. As for the total magnetic moment: 0.00 μB per cell. The density of states at the Fermi level is 0.259 states/eV per atom.

a = 7.933 Å, b = 7.933 Å, c = 3.314 Å
α = 78.00°, β = 78.00°, γ = 23.49°
Fractional coordinates of all 4 atoms:
1 Cl 0.452 0.452 0.550
2 Hg 0.199 0.199 0.299
3 Li 0.025 0.025 0.977
4 Li 0.825 0.825 0.674

Version two
A relaxed Li2HgCl crystal, computed with PBE-GGA.

Calculated values
The value obtained for the volume is 94.6 Å³/cell. The value obtained for the mass density is 4.39 g cm⁻³. As for the space-group type: Immm, No. 71. As for the total magnetic moment: 0.00 μB per cell. The density of states at the Fermi level is 0.316 states/eV per atom.

a = 5.647 Å, b = 5.647 Å, c = 5.647 Å
α = 145.72°, β = 106.50°, γ = 83.66°
Fractional coordinates of all 4 atoms:
1 Cl 0.750 0.250 0.500
2 Hg 0.250 0.750 0.500
3 Li 0.947 0.947 0.000
4 Li 0.553 0.553 0.000

It is version two that is the least stable of them.

Version one
A relaxed Li2HgCl crystal, computed with PBE-GGA.

Calculated values
The value obtained for the volume is 78.7 Å³/cell. The value obtained for the mass density is 5.27 g cm⁻³. As for the space-group type: C2/m, No. 12. As for the total magnetic moment: 0.00 μB per cell. The density of states at the Fermi level is 0.150 states/eV per atom.

a = 3.427 Å, b = 3.427 Å, c = 7.980 Å
α = 77.69°, β = 77.69°, γ = 60.03°
Fractional coordinates of all 4 atoms:
1 Cl 0.750 0.750 0.750
2 Hg 0.250 0.250 0.250
3 Li 0.018 0.018 0.947
4 Li 0.482 0.482 0.553

Version two
A relaxed Li2HgCl crystal, computed with PBE-GGA.

Calculated values
The value obtained for the volume is 87.7 Å³/cell. The value obtained for the mass density is 4.73 g cm⁻³. As for the space-group type: P2/m, No. 10. As for the total magnetic moment: 0.00 μB per cell. The density of states at the Fermi level is 0.216 states/eV per atom.

a = 3.355 Å, b = 4.103 Å, c = 6.371 Å
α = 89.58°, β = 90.00°, γ = 90.00°
Fractional coordinates of all 4 atoms:
1 Cl 0.500 0.250 0.250
2 Hg 0.500 0.750 0.750
3 Li 0.000 0.247 0.986
4 Li 0.000 0.253 0.514

Version three
A relaxed Li2HgCl crystal, computed with PBE-GGA.

Calculated values
The value obtained for the volume is 87.7 Å³/cell. The value obtained for the mass density is 4.73 g cm⁻³. As for the space-group type: P4mm, No. 99. As for the total magnetic moment: 0.00 μB per cell. The density of states at the Fermi level is 0.262 states/eV per atom.

a = 3.316 Å, b = 3.316 Å, c = 7.971 Å
α = 90.00°, β = 90.00°, γ = 90.00°
Fractional coordinates of all 4 atoms:
1 Cl 0.000 0.000 0.304
2 Hg 0.500 0.500 0.787
3 Li 0.000 0.000 0.007
4 Li 0.500 0.500 0.402

Version four
A relaxed Li2HgCl crystal, computed with PBE-GGA.

Calculated values
The value obtained for the volume is 91.1 Å³/cell. The value obtained for the mass density is 4.56 g cm⁻³. As for the space-group type: I-4m2, No. 119. As for the total magnetic moment: 0.00 μB per cell. The density of states at the Fermi level is 0.255 states/eV per atom.

a = 7.220 Å, b = 7.220 Å, c = 7.220 Å
α = 150.50°, β = 150.50°, γ = 42.21°
Fractional coordinates of all 4 atoms:
1 Cl 0.500 0.500 0.000
2 Hg 0.750 0.250 0.500
3 Li 0.000 0.000 0.000
4 Li 0.250 0.750 0.500

It is version four that is the least stable of them.